Entry i
MnC3 | PBE | optimized geometry

POSCAR file:
```
MnC3
1.0
5.717 0.000 0.000
-2.858 4.951 0.000
0.000 0.000 3.447
Mn C
3 9
direct
0.000 0.000 0.000
0.333 0.667 0.667
0.667 0.333 0.333
0.000 0.500 0.000
0.167 0.333 0.333
0.167 0.833 0.333
0.333 0.167 0.667
0.500 0.000 0.000
0.500 0.500 0.000
0.667 0.833 0.333
0.833 0.167 0.667
0.833 0.667 0.667
```

Values from the calculation:
space group	R-3m, No. 166
total magnetic moment	6.9	μB per cell



Entry ii
MnC3 | PBE | optimized geometry

POSCAR file:
```
MnC3
1.0
5.007 0.000 0.000
0.000 5.007 0.000
0.000 0.000 5.007
Mn C
4 12
direct
0.000 0.000 0.000
0.000 0.500 0.500
0.500 0.000 0.500
0.500 0.500 0.000
0.000 0.000 0.500
0.000 0.500 0.000
0.250 0.250 0.250
0.250 0.250 0.750
0.250 0.750 0.250
0.250 0.750 0.750
0.500 0.000 0.000
0.500 0.500 0.500
0.750 0.250 0.250
0.750 0.250 0.750
0.750 0.750 0.250
0.750 0.750 0.750
```

Values from the calculation:
space group	Fm-3m, No. 225
total magnetic moment	7.0	μB per cell



Stability check: which of them is most stable? entry i.



Entry i
InTePb2 | PBE | optimized geometry

POSCAR file:
```
InTePb2
1.0
3.864 0.000 0.000
0.000 5.515 0.000
0.000 0.000 11.314
In Te Pb
2 2 4
direct
0.000 0.000 0.000
0.500 0.500 0.000
0.000 0.000 0.500
0.500 0.500 0.500
0.000 0.500 0.245
0.000 0.500 0.755
0.500 0.000 0.245
0.500 0.000 0.755
```

Values from the calculation:
space group	Cmmm, No. 65
total magnetic moment	0.0	μB per cell



Entry ii
InTePb2 | PBE | optimized geometry

POSCAR file:
```
InTePb2
1.0
3.334 0.000 0.000
0.000 5.935 0.000
-1.588 0.000 6.359
In Te Pb
1 1 2
direct
0.000 0.000 0.000
0.486 0.500 0.891
0.290 0.000 0.517
0.721 0.500 0.378
```

Values from the calculation:
space group	Pm, No. 6
total magnetic moment	0.0	μB per cell



Stability check: which of them is most stable? entry ii.



Entry i
CuReW2 | PBE | optimized geometry

POSCAR file:
```
CuReW2
1.0
3.273 0.000 0.000
0.000 4.280 0.000
0.000 0.000 8.592
Cu Re W
2 2 4
direct
0.000 0.000 0.000
0.500 0.500 0.500
0.000 0.000 0.500
0.500 0.500 0.000
0.000 0.500 0.242
0.000 0.500 0.758
0.500 0.000 0.258
0.500 0.000 0.742
```

Values from the calculation:
space group	Immm, No. 71
total magnetic moment	0.0	μB per cell



Entry ii
CuReW2 | PBE | optimized geometry

POSCAR file:
```
CuReW2
1.0
2.627 0.000 0.000
0.000 4.154 0.000
0.000 0.000 5.559
Cu Re W
1 1 2
direct
0.000 0.000 0.000
0.500 0.500 0.236
0.000 0.000 0.493
0.500 0.500 0.764
```

Values from the calculation:
space group	Pmm2, No. 25
total magnetic moment	0.0	μB per cell



Stability check: which of them is most stable? entry i.